Entry from Alexandria via LeMat-Bulk: a relaxed structure of ErPaV2O8 (GGA+U).

Lattice parameters (Å, degrees): 5.143 5.143 10.987 90.00 90.00 90.00
Space group I-4 (No. 82)
Unique sites:
Er  0.000  0.000  0.000 (multiplicity 2)
Pa  0.000  0.500  0.250 (multiplicity 2)
V  0.000  0.000  0.500 (multiplicity 2)
V  0.000  0.500  0.750 (multiplicity 2)
O  0.168  0.261  0.416 (multiplicity 8)
O  0.172  0.764  0.830 (multiplicity 8)

Output
**Spin magnetization**: 2.00 μB/f.u.
**ρ**: 7.2 Mg/m³
**Total energy**: -204.37 eV for the cell shown